[1]
VASP calculation (GGA-PBE) on a relaxed SnI3O crystal.

Uncorrected energy: -10.217 eV/f.u.
Calculated volume: 209.4 Å³/cell
Uncorrected formation energy: 0.679 eV/atom
D(E_F): 25.8 states/eV per cell

Unit cell a=5.938 b=5.938 c=5.938 alpha=90.00 beta=90.00 gamma=90.00
Space group Pm-3m (No. 221)
One atom of each set of equivalent atoms:
Sn1 0.000 0.000 0.000 [1 per cell]
I1 0.000 0.000 0.500 [3 per cell]
O1 0.500 0.500 0.500 [1 per cell]

***

[2]
VASP calculation (GGA-PBE) on a relaxed Sr2SnI2O2 crystal.

Uncorrected energy: -32.056 eV/f.u.
Calculated volume: 391.0 Å³/cell
Uncorrected formation energy: -1.668 eV/atom
D(E_F): 1.6 states/eV per cell

Unit cell a=4.509 b=4.509 c=19.232 alpha=90.00 beta=90.00 gamma=90.00
Space group I4/mmm (No. 139)
One atom of each set of equivalent atoms:
Sr1 0.000 0.000 0.089 [4 per cell]
Sn1 0.000 0.000 0.500 [2 per cell]
I1 0.000 0.000 0.322 [4 per cell]
O1 0.000 0.500 0.000 [4 per cell]

***

[3]
VASP calculation (GGA-PBE) on a relaxed SrSnI2O crystal.

Uncorrected energy: -18.221 eV/f.u.
Calculated volume: 170.7 Å³/cell
Uncorrected formation energy: -0.895 eV/atom
D(E_F): 1.7 states/eV per cell

Unit cell a=6.374 b=6.374 c=4.201 alpha=90.00 beta=90.00 gamma=90.00
Space group P4/mmm (No. 123)
One atom of each set of equivalent atoms:
Sr1 0.000 0.000 0.000 [1 per cell]
Sn1 0.500 0.500 0.500 [1 per cell]
I1 0.000 0.500 0.500 [2 per cell]
O1 0.500 0.500 0.000 [1 per cell]

***

[4]
VASP calculation (GGA-PBE) on a relaxed SrSnIO2 crystal.

Uncorrected energy: -26.061 eV/f.u.
Calculated volume: 469.3 Å³/cell
Uncorrected formation energy: -1.782 eV/atom
D(E_F): 4.7 states/eV per cell

Unit cell a=5.883 b=13.786 c=5.787 alpha=90.00 beta=90.00 gamma=90.00
Space group Cmcm (No. 63)
One atom of each set of equivalent atoms:
Sr1 0.000 0.099 0.250 [4 per cell]
Sn1 0.000 0.441 0.250 [4 per cell]
I1 0.000 0.251 0.750 [4 per cell]
O1 0.227 0.500 0.000 [8 per cell]

***

[5]
VASP calculation (GGA-PBE) on a relaxed SrSnIO2 crystal.

Uncorrected energy: -22.217 eV/f.u.
Calculated volume: 116.2 Å³/cell
Uncorrected formation energy: -1.013 eV/atom
D(E_F): 1.3 states/eV per cell

Unit cell a=4.421 b=4.421 c=5.943 alpha=90.00 beta=90.00 gamma=90.00
Space group P4/mmm (No. 123)
One atom of each set of equivalent atoms:
Sr1 0.000 0.000 0.000 [1 per cell]
Sn1 0.500 0.500 0.500 [1 per cell]
I1 0.500 0.500 0.000 [1 per cell]
O1 0.000 0.500 0.500 [2 per cell]

***

[6]
VASP calculation (GGA-PBE) on a relaxed SrSnIO2 crystal.

Uncorrected energy: -19.868 eV/f.u.
Calculated volume: 140.9 Å³/cell
Uncorrected formation energy: -0.543 eV/atom
D(E_F): 3.0 states/eV per cell

Unit cell a=4.725 b=4.725 c=6.311 alpha=90.00 beta=90.00 gamma=90.00
Space group P4/mmm (No. 123)
One atom of each set of equivalent atoms:
Sr1 0.000 0.000 0.000 [1 per cell]
Sn1 0.500 0.500 0.500 [1 per cell]
I1 0.000 0.000 0.500 [1 per cell]
O1 0.000 0.500 0.000 [2 per cell]

***

Question: Number 5 is which compound?
Answer: SrSnIO2

***

What did the fifth record say?
VASP calculation (GGA-PBE) on a relaxed SrSnIO2 crystal.

Uncorrected energy: -22.217 eV/f.u.
Calculated volume: 116.2 Å³/cell
Uncorrected formation energy: -1.013 eV/atom
D(E_F): 1.3 states/eV per cell

Unit cell a=4.421 b=4.421 c=5.943 alpha=90.00 beta=90.00 gamma=90.00
Space group P4/mmm (No. 123)
One atom of each set of equivalent atoms:
Sr1 0.000 0.000 0.000 [1 per cell]
Sn1 0.500 0.500 0.500 [1 per cell]
I1 0.500 0.500 0.000 [1 per cell]
O1 0.000 0.500 0.500 [2 per cell]